No. 1
The following is a DFT calculation (PBE) of a relaxed TiGaTe2 crystal.

Its energy relative to the elements, uncorrected is 23.2 kJ per mole of atoms. As for the magnetic moment: 0.0 Bohr magnetons per cell. Its symmetry is R-3m, No. 166.

Unit cell a=8.8921 b=8.8921 c=8.8921 alpha=25.77 beta=25.77 gamma=25.77
Fractional coordinates of all 4 atoms:
Te 0.8989 0.8989 0.8989
Te 0.1011 0.1011 0.1011
Ga 0.5000 0.5000 0.5000
Ti 0.0000 0.0000 0.0000

No. 2
The following is a DFT calculation (PBE) of a relaxed SmErTe2S crystal.

Its energy relative to the elements, uncorrected is -141.6 kJ per mole of atoms. As for the magnetic moment: 0.0 Bohr magnetons per cell. Its symmetry is P4/nmm, No. 129.

Unit cell a=4.4164 b=4.4164 c=15.6226 alpha=90.00 beta=90.00 gamma=90.00
Fractional coordinates of all 10 atoms:
Sm 0.5000 0.0000 0.6042
Sm 0.0000 0.5000 0.3958
Er 0.5000 0.0000 0.1118
Er 0.0000 0.5000 0.8882
Te 0.0000 0.5000 0.7037
Te 0.0000 0.5000 0.0919
Te 0.5000 0.0000 0.9081
Te 0.5000 0.0000 0.2963
S 0.0000 0.0000 0.5000
S 0.5000 0.5000 0.5000

No. 3
The following is a DFT calculation (PBE) of a relaxed Ba3Bi4Pd2Pb2 crystal.

The value obtained for the energy of formation from the pure elements is -0.559 eV per atom. As for the magnetic moment: 0.0 Bohr magnetons per cell. Its symmetry is P-3m1, No. 164.

Unit cell a=4.7866 b=4.7866 c=20.1168 alpha=90.00 beta=90.00 gamma=120.00
Fractional coordinates of all 11 atoms:
Ba 0.0000 0.0000 0.7575
Ba 0.0000 0.0000 0.0000
Ba 0.0000 0.0000 0.2425
Bi 0.6667 0.3333 0.1232
Bi 0.3333 0.6667 0.8768
Bi 0.6667 0.3333 0.6435
Bi 0.3333 0.6667 0.3565
Pd 0.6667 0.3333 0.8762
Pd 0.3333 0.6667 0.1238
Pb 0.6667 0.3333 0.4324
Pb 0.3333 0.6667 0.5676